Compound: Pm5Sc
Source: the Alexandria database
Functional: PBE
Structure: relaxed

Output
- Distance to the lowest polymorph of the same formula: 0.0000 eV per atom
- Magnetic moment: 0.000 μB/atom
- Formation energy from the elements: 35 meV/atom

Cell: 5.0709 15.2396 5.0656 Å, 90.00 90.00 90.00°
With the nearest neighbours (Å) after each atom.
Space group Cmmm (No. 65)
Asymmetric unit:
Pm: 0.0000 0.0000 0.0000 x2  8 Pm 3.55-3.56, 4 Sc 3.58
Pm: 0.0000 0.1634 0.5000 x4  10 Pm 3.55-3.66, 2 Sc 3.55
Pm: 0.0000 0.3358 0.0000 x4  2 Sc 3.56, 10 Pm 3.56-3.65
Sc: 0.0000 0.5000 0.5000 x2  12 Pm 3.55-3.58

***

Compound: Pm4ScSe5
Source: the Alexandria database
Functional: PBE
Structure: relaxed

Output
- Distance to the lowest polymorph of the same formula: 0.0000 eV per atom
- Magnetic moment: 0.000 μB/atom
- Formation energy from raw total energies: -17.75 eV per formula unit

Cell: 4.1226 4.1226 50.9398 Å, 90.00 90.00 120.00°
With the nearest neighbours (Å) after each atom.
Space group R-3m (No. 166, hexagonal axes)
Asymmetric unit:
Pm: 0.0000 0.0000 0.1031 x6  6 Se 2.95-2.98
Pm: 0.0000 0.0000 0.2988 x6  6 Se 2.96
Sc: 0.0000 0.0000 0.5000 x3  6 Se 2.79
Se: 0.0000 0.0000 0.0000 x3  6 Pm 2.96
Se: 0.0000 0.0000 0.1951 x6  3 Sc 2.79, 3 Pm 2.98
Se: 0.0000 0.0000 0.4023 x6  6 Pm 2.95-2.96

***

Compound: Pm2ScSe4
Source: the Alexandria database
Functional: PBE
Structure: relaxed

Output
- Magnetic moment: 0.000 μB/atom
- Formation energy from raw total energies: -11.52 eV per formula unit

Cell: 7.1918 7.0804 7.9831 Å, 90.00 106.11 90.00°
With the nearest neighbours (Å) after each atom.
Space group P2_1/m (No. 11)
Asymmetric unit:
Pm: 0.1995 0.2500 0.0523 x2  6 Se 2.99-3.01
Pm: 0.2054 0.2500 0.5486 x2  6 Se 2.89-3.02
Sc: 0.2782 0.7500 0.8194 x2  4 Se 2.49-2.65
Se: 0.0025 0.5041 0.2519 x4  1 Sc 2.65
Se: 0.4825 0.7500 0.6143 x2  1 Sc 2.49
Se: 0.4881 0.7500 0.1281 x2  1 Sc 2.51

***

Compound: Pm3Sc5Se12
Source: the Alexandria database
Functional: PBE
Structure: relaxed

Output
- Magnetic moment: 0.000 μB/atom
- Formation energy from raw total energies: -33.00 eV per formula unit

Cell: 16.4330 16.4330 16.4330 Å, 90.00 90.00 90.00°
With the nearest neighbours (Å) after each atom.
Space group Ia-3d (No. 230)
Asymmetric unit:
Pm: 0.0000 0.2500 0.1250 x24  8 Se 3.11-3.14
Sc: 0.0000 0.0000 0.0000 x16  6 Se 2.72
Sc: 0.0000 0.2500 0.3750 x24  4 Se 2.54
Se: 0.0254 0.0640 0.6506 x96  2 Sc 2.54-2.72

***

Compound: PmSc3Se4
Source: the Alexandria database
Functional: PBE
Structure: relaxed

Output
- Distance to the lowest polymorph of the same formula: 0.0000 eV per atom
- Magnetic moment: 0.000 μB/atom
- Formation energy from raw total energies: -13.13 eV per formula unit

Cell: 3.9149 3.9149 26.4303 Å, 90.00 90.00 120.00°
With the nearest neighbours (Å) after each atom.
Space group P6_3/mmc (No. 194)
Asymmetric unit:
Pm: 0.3333 0.6667 0.2500 x2  6 Se 2.97
Sc: 0.0000 0.0000 0.0000 x2  6 Se 2.75
Sc: 0.3333 0.6667 0.6186 x4  6 Se 2.74-2.75
Se: 0.0000 0.0000 0.1771 x4  3 Sc 2.74, 3 Pm 2.97
Se: 0.3333 0.6667 0.0594 x4  6 Sc 2.75

***

Compound: PmSc2Se3
Source: the Alexandria database
Functional: PBE
Structure: relaxed

Output
- Distance to the lowest polymorph of the same formula: 0.4422 eV per atom
- Magnetic moment: 0.000 μB/atom
- Formation energy from raw total energies: -7.21 eV per formula unit

Cell: 10.1067 12.8522 5.7100 Å, 90.00 90.00 90.00°
With the nearest neighbours (Å) after each atom.
Space group Cmcm (No. 63)
Asymmetric unit:
Pm: 0.0000 0.0921 0.2500 x4  6 Se 3.04-3.27
Sc: 0.1775 0.5000 0.0000 x8  4 Se 2.62-2.67, 2 Sc 2.85
Se: 0.0000 0.3940 0.7500 x4  4 Sc 2.67
Se: 0.1563 0.1097 0.7500 x8  2 Sc 2.62

***

magnetic moment of number 5 (PmSc3Se4)? 0.000 μB/atom